Compound: NdYInAu
Source: the Alexandria database
Functional: GGA-PBE
Structure: optimized geometry

Properties
For the density of states at the Fermi level, the calculation gives 4.17 states/eV/cell. The crystal system is cubic. As for the formation energy: -57.4 kJ per mole of atoms. As for the energy above the most stable polymorph in this dataset: 68 meV per atom. The final energy is -0.1803 hartree per atom.

Unit cell a=5.3172 b=5.3172 c=5.3172 alpha=60.00 beta=60.00 gamma=60.00
Last column: nearest neighbours and their distance in Å.
Atoms (fractional coordinates):
Nd (0.0000, 0.0000, 0.0000)  4 In 3.26, 4 Au 3.26
Y (0.5000, 0.5000, 0.5000)  4 Au 3.26, 4 In 3.26
In (0.2500, 0.2500, 0.2500)  4 Y 3.26, 4 Nd 3.26
Au (0.7500, 0.7500, 0.7500)  4 Nd 3.26, 4 Y 3.26